Material: LiMoOF2
Method: DFT, GGA-PBEsol
State: relaxed

Output
The space-group type is No. 123. The calculation puts the density of states at the Fermi level at 2.7 states/eV/cell. As for the raw formation energy: -8.9 eV/f.u. The volume comes out at 13.2 A^3/atom.

Cell: 4.164 4.164 3.802 Å, 90.00 90.00 90.00°
Sites, in units of the cell vectors:
1 Li 0.000 0.000 0.000
2 Mo 0.500 0.500 0.500
3 O 0.500 0.500 0.000
4 F 0.000 0.500 0.500
5 F 0.500 0.000 0.500